Density functional theory data (SCAN) for Ni2OsPb at its PBEsol-relaxed geometry.

Cell and atoms, written as POSCAR:
```
Ni2OsPb
1.0
3.866 0.000 0.000
0.000 3.866 0.000
-1.933 -1.933 3.814
Os Pb Ni
1 1 2
direct
0.500 0.500 0.000
0.250 0.750 0.500
0.750 0.250 0.500
0.000 0.000 0.000
```

Results
Formation energy from the elements   2.501 eV per formula unit
Space group   I-4m2